# 1
## Li2OsBr (PBE)

Data for a geometry-optimized Li2OsBr structure.

Computed properties:
uncorrected energy: -4.0246 eV/atom
formation energy from raw total energies: 0.158 eV per atom

The structure in POSCAR format:
```
Li2OsBr
1.0
-0.730 1.736 -2.145
-2.467 -1.405 -0.297
-3.437 4.944 5.170
Br Li Os
1 2 1
Cartesian
-4.176 3.874 2.656 Br
-3.423 4.924 5.149 Li
-1.732 2.492 2.606 Li
-2.458 1.402 0.071 Os
```

# 2
## KPuAs2Pt4 (PBE)

Data for a geometry-optimized KPuAs2Pt4 structure.

Computed properties:
uncorrected energy: -6.6081 eV/atom
energy of formation from the pure elements: -0.4966 eV/atom

The structure in POSCAR format:
```
KPuAs2Pt4
1.0
-0.018 1.930 3.523
-0.763 -3.460 1.892
11.038 -1.848 1.070
K Pu As Pt
1 1 2 4
Cartesian
5.519 -0.924 0.535 K
0.000 0.000 0.000 Pu
3.196 -1.365 3.055 As
7.061 -2.012 3.430 As
1.766 -2.090 1.154 Pt
8.881 -0.523 2.624 Pt
2.138 0.606 1.970 Pt
8.509 -3.218 1.808 Pt
```

# 3
## Y3Fe4Si4 (PBE)

Data for a geometry-optimized Y3Fe4Si4 structure.

Computed properties:
uncorrected energy: -7.4146 eV/atom
formation energy from raw total energies: -0.602 eV per atom

The structure in POSCAR format:
```
Y3Fe4Si4
1.0
-5.336 0.360 -3.062
-0.026 -5.008 3.591
0.708 5.028 3.492
Y Fe Si
3 4 4
Cartesian
-2.681 -2.324 0.265 Y
-2.314 2.694 0.215 Y
0.341 0.010 3.542 Y
-0.007 -1.284 0.921 Fe
0.182 1.289 0.895 Fe
-1.368 0.092 -0.785 Fe
-3.461 0.283 2.990 Fe
-0.016 -3.108 2.229 Si
-3.312 0.224 -1.900 Si
0.440 3.121 2.167 Si
-1.765 0.144 1.525 Si
```

# 4
## Pr4OsBr2O (PBE)

Data for a geometry-optimized Pr4OsBr2O structure.

Computed properties:
uncorrected energy: -6.0883 eV/atom
formation energy from raw total energies: -1.257 eV per atom

The structure in POSCAR format:
```
Pr4OsBr2O
1.0
3.946 0.000 0.000
0.000 6.901 0.046
0.000 -2.502 7.762
Pr Os Br O
4 1 2 1
Cartesian
1.973 0.995 1.436 Pr
1.973 3.404 6.372 Pr
0.000 -0.301 6.262 Pr
0.000 4.700 1.546 Pr
1.973 3.450 0.023 Os
1.973 -1.251 3.881 Br
0.000 2.199 3.904 Br
0.000 0.000 0.000 O
```

For reference, mass density by record: 7.29, 11.11, 5.55, 7.29 g/cm3.